Here is K2AlPt at its PBEsol-relaxed geometry from Alexandria. Energies are from meta-GGA SCAN. Values from VASP.

The structure in Quantum ESPRESSO input format:
```
&SYSTEM
  ibrav = 0, nat = 4, ntyp = 3
/
ATOMIC_SPECIES
K 39.10 K.upf
Al 26.98 Al.upf
Pt 195.08 Pt.upf
CELL_PARAMETERS angstrom
4.0906 0.0000 0.0000
0.0000 4.0906 0.0000
0.0000 0.0000 5.4203
ATOMIC_POSITIONS crystal
K 0.0000 0.5000 0.0000
K 0.5000 0.0000 0.0000
Al 0.0000 0.0000 0.5000
Pt 0.5000 0.5000 0.5000
```

## Properties
DFT total energy = -93.8 eV per cell
Density of states at the Fermi level = 1.99 states/eV per cell
Calculated formation energy = 0.191 eV per atom